Entry from Alexandria via LeMat-Bulk: Be2ZnFe at its PBEsol-relaxed geometry (SCAN).

Cell lengths 2.591, 2.591, 5.880 Å; angles 90.00, 90.00, 90.00 degrees
Last column: magnetic moment on the atom in μB.
Fractional positions:
Zn 0.500 0.500 0.770  -0.06
Be 0.000 0.000 0.036  0.01
Be 0.500 0.500 0.231  -0.05
Fe 0.000 0.000 0.463  2.53

Values from the calculation:
- Magnetic moment: 2.38 Bohr magnetons per cell
- VASP energy: -40.46 eV for the cell shown
- Calculated volume: 39.5 Å³/cell
- Formation enthalpy at 0 K: -28 meV/atom